# 1
## HoEr4Cd3 (GGA-PBE)

Data for a geometry-optimized HoEr4Cd3 structure.

Results
space group = No. 166
E_form = -0.17 eV per atom

a = 9.418 Å, b = 9.418 Å, c = 9.418 Å
α = 32.66°, β = 32.66°, γ = 32.66°
Sites, in units of the cell vectors:
Ho  0.000  0.000  0.000
Er  0.130  0.130  0.130
Er  0.386  0.386  0.386
Er  0.614  0.614  0.614
Er  0.870  0.870  0.870
Cd  0.260  0.260  0.260
Cd  0.500  0.500  0.500
Cd  0.740  0.740  0.740

---

# 2
## CoAgCl (GGA-PBE)

Data for a geometry-optimized CoAgCl structure.

Results
space group = No. 107
polymorph energy (0 for the lowest one) = 139.4 meV per atom
raw formation energy = 0.72 eV/f.u.

a = 6.630 Å, b = 6.630 Å, c = 6.630 Å
α = 154.16°, β = 154.16°, γ = 36.87°
Sites, in units of the cell vectors:
Co  0.000  0.000  0.000
Ag  0.352  0.352  0.000
Cl  0.603  0.603  0.000

---

# 3
## La6Pr2Sm3Mg (GGA-PBE)

Data for a geometry-optimized La6Pr2Sm3Mg structure.

Results
space group = No. 12
E_form = 0.01 eV per atom

a = 6.367 Å, b = 6.367 Å, c = 12.105 Å
α = 95.06°, β = 95.06°, γ = 120.05°
Sites, in units of the cell vectors:
La  0.083  0.412  0.750
La  0.247  0.247  0.249
La  0.412  0.083  0.750
La  0.588  0.917  0.250
La  0.753  0.753  0.751
La  0.917  0.588  0.250
Pr  0.333  0.667  0.500
Pr  0.667  0.333  0.500
Sm  0.167  0.833  0.000
Sm  0.500  0.500  0.000
Sm  0.833  0.167  0.000
Mg  0.000  0.000  0.500

---

# 4
## SrCuBi (GGA-PBE)

Data for a geometry-optimized SrCuBi structure.

Results
space group = No. 35
E_form = -0.47 eV per atom

a = 4.790 Å, b = 4.790 Å, c = 7.290 Å
α = 90.00°, β = 90.00°, γ = 90.07°
Sites, in units of the cell vectors:
Sr  0.000  0.000  0.000
Sr  0.500  0.500  0.410
Cu  0.000  0.500  0.705
Cu  0.500  0.000  0.705
Bi  0.000  0.000  0.488
Bi  0.500  0.500  0.921

---

# 5
## KMg2H6 (GGA-PBE)

Data for a geometry-optimized KMg2H6 structure.

Results
space group = No. 225
polymorph energy (0 for the lowest one) = 796.4 meV per atom

a = 5.206 Å, b = 5.206 Å, c = 5.206 Å
α = 60.00°, β = 60.00°, γ = 60.00°
Sites, in units of the cell vectors:
K  0.000  0.000  0.000
Mg  0.250  0.250  0.250
Mg  0.750  0.750  0.750
H  0.303  0.303  0.697
H  0.303  0.697  0.303
H  0.303  0.697  0.697
H  0.697  0.303  0.303
H  0.697  0.303  0.697
H  0.697  0.697  0.303

---

# 6
## Pr2HoThN4 (GGA-PBE)

Data for a geometry-optimized Pr2HoThN4 structure.

Results
space group = No. 10
raw formation energy = -12.01 eV/f.u.

a = 6.253 Å, b = 3.631 Å, c = 6.296 Å
α = 90.00°, β = 109.25°, γ = 90.00°
Sites, in units of the cell vectors:
Pr  0.000  0.000  0.000
Pr  0.500  0.500  0.000
Ho  0.000  0.500  0.500
Th  0.500  0.000  0.500
N  0.245  0.000  0.733
N  0.254  0.500  0.267
N  0.746  0.500  0.733
N  0.755  0.000  0.267

---

# 7
## ZrGeIN2 (GGA-PBE)

Data for a geometry-optimized ZrGeIN2 structure.

Results
space group = No. 123
polymorph energy (0 for the lowest one) = 0.0 meV per atom
raw formation energy = 2.72 eV/f.u.

a = 4.254 Å, b = 4.254 Å, c = 5.919 Å
α = 90.00°, β = 90.00°, γ = 90.00°
Sites, in units of the cell vectors:
Zr  0.000  0.000  0.000
Ge  0.500  0.500  0.500
I  0.000  0.000  0.500
N  0.000  0.500  0.000
N  0.500  0.000  0.000

---

# 8
## Er2NbTe (GGA-PBE)

Data for a geometry-optimized Er2NbTe structure.

Results
space group = No. 166
raw formation energy = 1.19 eV/f.u.

a = 10.164 Å, b = 10.164 Å, c = 10.164 Å
α = 20.46°, β = 20.46°, γ = 20.46°
Sites, in units of the cell vectors:
Er  0.094  0.094  0.094
Er  0.906  0.906  0.906
Nb  0.000  0.000  0.000
Te  0.500  0.500  0.500

---

# 9
## SmAl12Zn4 (GGA-PBE)

Data for a geometry-optimized SmAl12Zn4 structure.

Results
space group = No. 204
E_form = 0.16 eV per atom

a = 7.602 Å, b = 7.602 Å, c = 7.602 Å
α = 109.47°, β = 109.47°, γ = 109.47°
Sites, in units of the cell vectors:
Sm  0.000  0.000  0.000
Al  0.156  0.349  0.505
Al  0.156  0.651  0.806
Al  0.194  0.844  0.349
Al  0.349  0.194  0.844
Al  0.349  0.505  0.156
Al  0.495  0.844  0.651
Al  0.505  0.156  0.349
Al  0.651  0.495  0.844
Al  0.651  0.806  0.156
Al  0.806  0.156  0.651
Al  0.844  0.349  0.194
Al  0.844  0.651  0.495
Zn  0.000  0.000  0.500
Zn  0.000  0.500  0.000
Zn  0.500  0.000  0.000
Zn  0.500  0.500  0.500

---

# 10
## KTc2Pb (GGA-PBE)

Data for a geometry-optimized KTc2Pb structure.

Results
space group = No. 123
E_form = 1.08 eV per atom

a = 3.711 Å, b = 3.711 Å, c = 7.431 Å
α = 90.00°, β = 90.00°, γ = 90.00°
Sites, in units of the cell vectors:
K  0.000  0.000  0.000
Tc  0.500  0.500  0.348
Tc  0.500  0.500  0.652
Pb  0.000  0.000  0.500

---

# 11
## BaTaRh2 (GGA-PBE)

Data for a geometry-optimized BaTaRh2 structure.

Results
space group = No. 225
polymorph energy (0 for the lowest one) = 653.4 meV per atom
E_form = 0.42 eV per atom

a = 4.861 Å, b = 4.861 Å, c = 4.861 Å
α = 60.00°, β = 60.00°, γ = 60.00°
Sites, in units of the cell vectors:
Ba  0.000  0.000  0.000
Ta  0.500  0.500  0.500
Rh  0.250  0.250  0.250
Rh  0.750  0.750  0.750

---

# 12
## Nb3MoOs (GGA-PBE)

Data for a geometry-optimized Nb3MoOs structure.

Results
space group = No. 221
polymorph energy (0 for the lowest one) = 1239.2 meV per atom
E_form = 1.40 eV per atom

a = 4.816 Å, b = 4.816 Å, c = 4.816 Å
α = 90.00°, β = 90.00°, γ = 90.00°
Sites, in units of the cell vectors:
Nb  0.000  0.000  0.500
Nb  0.000  0.500  0.000
Nb  0.500  0.000  0.000
Mo  0.500  0.500  0.500
Os  0.000  0.000  0.000